VASP calculation (PBE) on a relaxed structure of Nd3Sm5Dy2.

a b c (Å): 11.1043 10.0399 10.0399
angles (deg): 56.43 56.43 56.43
Closest atoms and distances in Å follow each position.
Positions (direct):
Sm 0.8776 0.5244 0.7205  1 Dy 2.97, 1 Nd 3.30
Sm 0.6224 0.2795 0.4756  1 Dy 2.97, 1 Nd 3.30
Sm 0.2500 0.5000 0.5000  6 Sm 3.38-3.43
Nd 0.1260 0.1243 0.6237  1 Dy 3.22, 1 Sm 3.30
Sm 0.3776 0.7205 0.5244  1 Dy 2.97, 1 Nd 3.30
Sm 0.0008 0.7492 0.7492  2 Dy 3.37, 3 Sm 3.41-3.43, 1 Nd 3.45
Nd 0.3740 0.3763 0.8757  1 Dy 3.22, 1 Sm 3.30
Sm 0.4992 0.2508 0.2508  2 Dy 3.37, 3 Sm 3.41-3.43, 1 Nd 3.45
Dy 0.8733 0.2157 0.0376  1 Sm 2.97, 1 Nd 3.22
Nd 0.7500 0.0000 0.0000  4 Dy 3.39, 2 Sm 3.45
Dy 0.3733 0.0376 0.2157  1 Sm 2.97, 1 Nd 3.22
Sm 0.1224 0.4756 0.2795  1 Dy 2.97, 1 Nd 3.30
Nd 0.6260 0.6237 0.1243  1 Dy 3.22, 1 Sm 3.30
Nd 0.8740 0.8757 0.3763  1 Dy 3.22, 1 Sm 3.30
Sm 0.5008 0.7492 0.7492  2 Dy 3.37, 3 Sm 3.41-3.43, 1 Nd 3.45
Dy 0.1267 0.7843 0.9624  1 Sm 2.97, 1 Nd 3.22
Dy 0.6267 0.9624 0.7843  1 Sm 2.97, 1 Nd 3.22
Sm 0.9992 0.2508 0.2508  2 Dy 3.37, 3 Sm 3.41-3.43, 1 Nd 3.45
Sm 0.7500 0.5000 0.5000  6 Sm 3.38-3.43
Nd 0.2500 0.0000 0.0000  4 Dy 3.39, 2 Sm 3.45

SG	Ibam
total moment	0.00	μB/cell
formation enthalpy at 0 K	3.67	eV/f.u.
relative energy among the computed polymorphs	182	meV per atom

***

VASP calculation (PBE) on a relaxed structure of Cd2SiRh.

a b c (Å): 6.2034 4.9671 3.1170
angles (deg): 89.81 60.18 117.93
Closest atoms and distances in Å follow each position.
Positions (direct):
Rh 0.0000 0.5000 0.5000  2 Si 2.69, 8 Cd 2.93-2.94
Cd 0.0000 0.0000 0.0000  2 Cd 2.69, 4 Rh 2.93-2.94, 4 Si 2.93-2.94
Cd 0.5000 0.0000 0.5000  2 Cd 2.69, 4 Si 2.93-2.94, 4 Rh 2.93-2.94
Si 0.5000 0.5000 0.0000  2 Rh 2.69, 8 Cd 2.93-2.94

SG	C2/m
total moment	0.00	μB/cell
raw formation energy	0.10	eV/atom

***

VASP calculation (PBE) on a relaxed structure of CsRb2BCl.

a b c (Å): 6.2304 6.6138 6.2304
angles (deg): 90.00 90.00 90.00
Closest atoms and distances in Å follow each position.
Positions (direct):
Cs 0.0000 0.5000 0.0000  2 Cl 3.31
B 0.5000 0.5000 0.5000  4 Cs 4.41, 8 Rb 4.54
Cl 0.0000 0.0000 0.0000  4 Rb 3.12, 2 Cs 3.31
Rb 0.0000 0.0000 0.5000  2 Cl 3.12
Rb 0.5000 0.0000 0.0000  2 Cl 3.12

SG	P4/mmm
total moment	2.78	μB/cell
raw formation energy	0.16	eV/atom

***

VASP calculation (PBE) on a relaxed structure of ZnCuCl2.

a b c (Å): 3.5816 6.9384 3.5766
angles (deg): 90.00 90.00 90.00
Closest atoms and distances in Å follow each position.
Positions (direct):
Cu 0.5000 0.0000 0.5000  4 Cl 2.53
Cl 0.5000 0.5000 0.0000  4 Zn 2.53
Zn 0.0000 0.5000 0.5000  4 Cl 2.53
Cl 0.0000 0.0000 0.0000  4 Cu 2.53

SG	Pmmm
total moment	0.00	μB/cell
relative energy among the computed polymorphs	277	meV per atom
raw formation energy	-0.16	eV/atom

***

VASP calculation (PBE) on a relaxed structure of Pu2SiRh.

a b c (Å): 3.7397 3.7397 5.5711
angles (deg): 90.00 90.00 90.00
Closest atoms and distances in Å follow each position.
Positions (direct):
Pu 0.0000 0.0000 0.7517  2 Pu 2.77-2.80, 4 Si 2.98, 4 Rh 2.99
Pu 0.0000 0.0000 0.2483  2 Pu 2.77-2.80, 4 Si 2.98, 4 Rh 2.99
Rh 0.5000 0.5000 0.5000  2 Si 2.79, 8 Pu 2.99
Si 0.5000 0.5000 0.0000  2 Rh 2.79, 8 Pu 2.98

SG	P4/mmm
total moment	9.95	μB/cell
raw formation energy	-0.47	eV/atom

***

VASP calculation (PBE) on a relaxed structure of ZrCoSiRu.

a b c (Å): 4.3353 4.3353 4.3353
angles (deg): 60.00 60.00 60.00
Closest atoms and distances in Å follow each position.
Positions (direct):
Si 0.0000 0.0000 0.0000  4 Co 2.65, 4 Ru 2.65
Co 0.7500 0.7500 0.7500  4 Zr 2.65, 4 Si 2.65
Zr 0.5000 0.5000 0.5000  4 Co 2.65, 4 Ru 2.65
Ru 0.2500 0.2500 0.2500  4 Zr 2.65, 4 Si 2.65

SG	F-43m
total moment	1.01	μB/cell
raw formation energy	-0.54	eV/atom

***

VASP calculation (PBE) on a relaxed structure of MgGe2B2.

a b c (Å): 4.0260 4.0260 5.0651
angles (deg): 66.58 66.58 90.00
Closest atoms and distances in Å follow each position.
Positions (direct):
Ge 0.2500 0.7500 0.5000  4 B 2.36
B 0.3967 0.3967 0.2065  1 B 1.73
Mg 0.0000 0.0000 0.0000  8 Ge 2.91, 8 B 2.98
Ge 0.7500 0.2500 0.5000  4 B 2.36
B 0.6033 0.6033 0.7935  1 B 1.73

SG	I4/mmm
total moment	0.00	μB/cell
formation enthalpy at 0 K	2.54	eV/f.u.
relative energy among the computed polymorphs	24	meV per atom

***

VASP calculation (PBE) on a relaxed structure of Lu3Cr5H12.

a b c (Å): 9.6258 9.6258 9.6258
angles (deg): 109.47 109.47 109.47
Closest atoms and distances in Å follow each position.
Positions (direct):
H 0.9659 0.5848 0.1685  2 Cr 1.75
Lu 0.2500 0.1250 0.3750  8 H 2.14-2.15
Cr 0.5000 0.0000 0.0000  6 H 1.75
H 0.7974 0.4659 0.3812  2 Cr 1.75
Lu 0.3750 0.6250 0.2500  8 H 2.14-2.15
H 0.5341 0.2026 0.1188  2 Cr 1.75
Cr 0.5000 0.5000 0.0000  6 H 1.75
Cr 0.1250 0.7500 0.3750  4 H 1.75
Lu 0.8750 0.1250 0.2500  8 H 2.14-2.15
Lu 0.7500 0.3750 0.1250  8 H 2.14-2.15
H 0.1188 0.7026 0.5341  2 Cr 1.75
H 0.3315 0.7974 0.4162  2 Cr 1.75
H 0.9152 0.0838 0.8812  2 Cr 1.75
Cr 0.0000 0.0000 0.5000  6 H 1.75
Cr 0.5000 0.5000 0.5000  6 H 1.75
H 0.5848 0.6188 0.4162  2 Cr 1.75
H 0.2026 0.5341 0.6188  2 Cr 1.75
H 0.5341 0.3315 0.9152  2 Cr 1.75
H 0.4162 0.1188 0.5848  2 Cr 1.75
H 0.5848 0.9659 0.6685  2 Cr 1.75
H 0.5838 0.8812 0.4152  2 Cr 1.75
Cr 0.0000 0.5000 0.5000  6 H 1.75
Cr 0.2500 0.3750 0.6250  4 H 1.75
H 0.9659 0.3812 0.2974  2 Cr 1.75
H 0.6188 0.5848 0.9162  2 Cr 1.75
H 0.0848 0.1685 0.4659  2 Cr 1.75
H 0.8812 0.5838 0.9152  2 Cr 1.75
Cr 0.0000 0.5000 0.0000  6 H 1.75
H 0.0838 0.9152 0.3812  2 Cr 1.75
H 0.6685 0.4659 0.5848  2 Cr 1.75
H 0.4659 0.6685 0.0848  2 Cr 1.75
Cr 0.3750 0.2500 0.1250  4 H 1.75
H 0.7026 0.1188 0.0341  2 Cr 1.75
H 0.8315 0.9152 0.0341  2 Cr 1.75
Lu 0.7500 0.8750 0.6250  8 H 2.14-2.15
H 0.2974 0.4162 0.8315  2 Cr 1.75
H 0.0838 0.1685 0.2026  2 Cr 1.75
Lu 0.2500 0.6250 0.8750  8 H 2.14-2.15
H 0.4152 0.0341 0.3315  2 Cr 1.75
H 0.0848 0.9162 0.1188  2 Cr 1.75
Cr 0.3750 0.1250 0.7500  4 H 1.75
Cr 0.2500 0.8750 0.1250  4 H 1.75
H 0.3812 0.4152 0.0838  2 Cr 1.75
H 0.3812 0.9659 0.7974  2 Cr 1.75
H 0.0341 0.4152 0.8315  2 Cr 1.75
Cr 0.6250 0.7500 0.8750  4 H 1.75
H 0.1188 0.4162 0.0848  2 Cr 1.75
H 0.9162 0.0848 0.6188  2 Cr 1.75
H 0.7974 0.3315 0.9162  2 Cr 1.75
Lu 0.6250 0.3750 0.7500  8 H 2.14-2.15
Cr 0.0000 0.0000 0.0000  6 H 1.75
Cr 0.5000 0.0000 0.5000  6 H 1.75
H 0.2974 0.8812 0.9659  2 Cr 1.75
H 0.2026 0.6685 0.0838  2 Cr 1.75
H 0.3315 0.5341 0.4152  2 Cr 1.75
H 0.4162 0.2974 0.3315  2 Cr 1.75
Cr 0.8750 0.6250 0.7500  4 H 1.75
H 0.8812 0.2974 0.4659  2 Cr 1.75
H 0.4152 0.3812 0.5838  2 Cr 1.75
H 0.9162 0.8315 0.7974  2 Cr 1.75
H 0.6188 0.0341 0.2026  2 Cr 1.75
H 0.4659 0.7974 0.8812  2 Cr 1.75
Cr 0.7500 0.6250 0.3750  4 H 1.75
Cr 0.7500 0.1250 0.8750  4 H 1.75
H 0.5838 0.7026 0.6685  2 Cr 1.75
Lu 0.1250 0.8750 0.7500  8 H 2.14-2.15
Cr 0.1250 0.3750 0.2500  4 H 1.75
H 0.8315 0.9162 0.2974  2 Cr 1.75
H 0.0341 0.6188 0.7026  2 Cr 1.75
H 0.7026 0.5838 0.1685  2 Cr 1.75
Lu 0.1250 0.2500 0.8750  8 H 2.14-2.15
H 0.9152 0.8315 0.5341  2 Cr 1.75
Lu 0.8750 0.7500 0.1250  8 H 2.14-2.15
H 0.1685 0.0838 0.7026  2 Cr 1.75
Cr 0.6250 0.8750 0.2500  4 H 1.75
Cr 0.8750 0.2500 0.6250  4 H 1.75
Lu 0.3750 0.7500 0.6250  8 H 2.14-2.15
Lu 0.6250 0.2500 0.3750  8 H 2.14-2.15
H 0.6685 0.2026 0.5838  2 Cr 1.75
H 0.1685 0.0848 0.9659  2 Cr 1.75

SG	Ia-3d
total moment	30.71	μB/cell

***

no.,total DFT energy (no corrections) (eV for the cell shown)
1,-86.87
2,-14.21
3,-10.50
4,-9.70
5,-43.33
6,-32.50
7,-21.64
8,-417.96